(1)
PBE-GGA NbTe2NO, optimized geometry; formation energy without anion corrections = 96.3 kJ per mole of atoms; space-group type = P4/mmm, No. 123
1.0
4.725 0.000 0.000
0.000 4.725 0.000
0.000 0.000 3.805
Nb Te N O
1 2 1 1
Direct
0.000 0.000 0.000
0.000 0.500 0.500
0.500 0.000 0.500
0.500 0.500 0.000
0.500 0.500 0.500

(2)
PBE-GGA NbTeN2O, optimized geometry; formation energy without anion corrections = -2.7 kJ per mole of atoms; space-group type = P4/mmm, No. 123
1.0
4.220 0.000 0.000
0.000 4.220 0.000
0.000 0.000 3.901
Nb Te N O
1 1 2 1
Direct
0.000 0.000 0.000
0.500 0.500 0.500
0.000 0.500 0.000
0.500 0.000 0.000
0.000 0.000 0.500

(3)
PBE-GGA TiNbN2O, optimized geometry; formation energy without anion corrections = -51.6 kJ per mole of atoms; space-group type = P4/mmm, No. 123
1.0
4.067 0.000 0.000
0.000 4.067 0.000
0.000 0.000 3.903
Ti Nb N O
1 1 2 1
Direct
0.000 0.000 0.000
0.500 0.500 0.500
0.000 0.500 0.500
0.500 0.000 0.500
0.500 0.500 0.000

(4)
PBE-GGA TiNbNO2, optimized geometry; formation energy without anion corrections = -109.0 kJ per mole of atoms; space-group type = P4/mmm, No. 123
1.0
3.935 0.000 0.000
0.000 3.935 0.000
0.000 0.000 4.137
Ti Nb N O
1 1 1 2
Direct
0.000 0.000 0.000
0.500 0.500 0.500
0.500 0.500 0.000
0.000 0.500 0.500
0.500 0.000 0.500

(5)
PBE-GGA TiNbNO2, optimized geometry; formation energy without anion corrections = -116.5 kJ per mole of atoms; space-group type = P4/mmm, No. 123
1.0
3.751 0.000 0.000
0.000 3.751 0.000
0.000 0.000 4.059
Ti Nb N O
1 1 1 2
Direct
0.000 0.000 0.000
0.500 0.500 0.500
0.000 0.000 0.500
0.000 0.500 0.000
0.500 0.000 0.000

(6)
PBE-GGA TiNbN2O, optimized geometry; formation energy without anion corrections = -52.4 kJ per mole of atoms; space-group type = P4/mmm, No. 123
1.0
3.925 0.000 0.000
0.000 3.925 0.000
0.000 0.000 3.665
Ti Nb N O
1 1 2 1
Direct
0.000 0.000 0.000
0.500 0.500 0.500
0.000 0.500 0.000
0.500 0.000 0.000
0.000 0.000 0.500

(7)
PBE-GGA NbTlNO2, optimized geometry; formation energy without anion corrections = 85.9 kJ per mole of atoms; space-group type = P4/mmm, No. 123
1.0
4.178 0.000 0.000
0.000 4.178 0.000
0.000 0.000 4.233
Nb Tl N O
1 1 1 2
Direct
0.000 0.000 0.000
0.500 0.500 0.500
0.500 0.500 0.000
0.000 0.500 0.500
0.500 0.000 0.500

(8)
PBE-GGA NbTlNO2, optimized geometry; formation energy without anion corrections = -108.2 kJ per mole of atoms; space-group type = P4/mmm, No. 123
1.0
4.007 0.000 0.000
0.000 4.007 0.000
0.000 0.000 4.343
Nb Tl N O
1 1 1 2
Direct
0.000 0.000 0.000
0.500 0.500 0.500
0.000 0.000 0.500
0.000 0.500 0.000
0.500 0.000 0.000

Which value of formation energy without anion corrections does entry 1 give? 96.3 kJ per mole of atoms